Pr2ThIn | PBE | relaxed

Cell lengths 5.017, 5.017, 4.943 Å; angles 90.00, 90.00, 90.00 degrees
Positions (direct):
Pr (0.000, 0.500, 0.000)
Pr (0.500, 0.000, 0.000)
Th (0.000, 0.000, 0.500)
In (0.500, 0.500, 0.500)

- Crystal system: tetragonal
- Formation enthalpy at 0 K: -20.24 kJ per mole of atoms
- Raw total energy: -20.56 eV/f.u.
- Energy relative to the lowest polymorph listed for this composition: 0.006 eV per atom